A plane-wave DFT calculation with PBE-GGA was carried out for a relaxed TcTe2PdBr crystal.

a = 5.140 Å, b = 5.232 Å, c = 5.140 Å
α = 90.00°, β = 90.00°, γ = 90.00°
Positions (direct):
Pd1 0.500 0.500 0.500
Tc1 0.000 0.000 0.000
Te1 0.000 0.000 0.500
Te2 0.500 0.000 0.000
Br1 0.000 0.500 0.000

The density is 6.5 g/cm3. The value obtained for the total energy is -20.27 eV/cell. As for the formation energy without anion corrections: 3.24 eV/f.u. The calculation puts the density of states at the Fermi level at 1.04 states/eV/atom.



A plane-wave DFT calculation with PBE-GGA was carried out for a relaxed MgZr2Ti crystal.

a = 3.053 Å, b = 3.053 Å, c = 9.274 Å
α = 90.00°, β = 90.00°, γ = 90.00°
Positions (direct):
Ti1 0.500 0.500 0.000
Zr1 0.000 0.000 0.224
Mg1 0.500 0.500 0.500
Zr2 0.000 0.000 0.776

The density is 4.9 g/cm3. The value obtained for the total energy is -26.62 eV/cell. The calculation puts the density of states at the Fermi level at 0.85 states/eV/atom. The formation energy comes out at -8 meV/atom.



A plane-wave DFT calculation with PBE-GGA was carried out for a relaxed NaMgGaSb crystal.

a = 5.125 Å, b = 5.125 Å, c = 5.125 Å
α = 60.00°, β = 60.00°, γ = 60.00°
Positions (direct):
Mg1 0.000 0.000 0.000
Na1 0.500 0.500 0.500
Sb1 0.750 0.750 0.750
Ga1 0.250 0.250 0.250

The density is 4.2 g/cm3. The value obtained for the total energy is -10.67 eV/cell. As for the formation energy without anion corrections: -0.61 eV/f.u. The calculation puts the density of states at the Fermi level at 0.52 states/eV/atom.



A plane-wave DFT calculation with PBE-GGA was carried out for a relaxed K2CrAs crystal.

a = 4.515 Å, b = 4.519 Å, c = 5.299 Å
α = 90.00°, β = 90.00°, γ = 90.00°
Each line ends with the local moment (μB).
Positions (direct):
K1 0.000 0.000 0.000  0.03
Cr1 0.000 0.500 0.500  4.09
K2 0.500 0.500 0.000  0.03
As1 0.500 0.000 0.500  -0.11

The density is 3.1 g/cm3. The value obtained for the total energy is -14.84 eV/cell. The calculation puts the density of states at the Fermi level at 0.22 states/eV/atom. The formation energy comes out at 408 meV/atom.



A plane-wave DFT calculation with PBE-GGA was carried out for a relaxed Sc2AlCl crystal.

a = 9.228 Å, b = 9.228 Å, c = 9.228 Å
α = 21.57°, β = 21.57°, γ = 21.57°
Positions (direct):
Sc1 0.909 0.909 0.909
Sc2 0.091 0.091 0.091
Al1 0.500 0.500 0.500
Cl1 0.000 0.000 0.000

The density is 2.7 g/cm3. The value obtained for the total energy is -20.67 eV/cell. As for the formation energy without anion corrections: -2.42 eV/f.u. The calculation puts the density of states at the Fermi level at 1.15 states/eV/atom. Its relative energy among the computed polymorphs is 200 meV per atom.



A plane-wave DFT calculation with PBE-GGA was carried out for a relaxed RbBi2WN crystal.

a = 5.918 Å, b = 3.854 Å, c = 5.918 Å
α = 90.00°, β = 90.00°, γ = 90.00°
Positions (direct):
Bi1 0.500 0.000 0.000
Bi2 0.000 0.000 0.500
W1 0.000 0.000 0.000
Rb1 0.500 0.500 0.500
N1 0.000 0.500 0.000

The density is 8.6 g/cm3. The value obtained for the total energy is -28.11 eV/cell. As for the formation energy without anion corrections: 1.90 eV/f.u. The calculation puts the density of states at the Fermi level at 0.80 states/eV/atom.



A plane-wave DFT calculation with PBE-GGA was carried out for a relaxed AgMoBr2 crystal.

a = 5.689 Å, b = 5.689 Å, c = 4.037 Å
α = 67.93°, β = 67.93°, γ = 97.44°
Each line ends with the local moment (μB).
Positions (direct):
Mo1 0.500 0.000 0.500  3.58
Br1 0.500 0.500 0.000  0.04
Ag1 0.000 0.500 0.500  0.00
Br2 0.000 0.000 0.000  0.04

The density is 5.7 g/cm3. The value obtained for the total energy is -14.85 eV/cell. As for the formation energy without anion corrections: 2.18 eV/f.u. The calculation puts the density of states at the Fermi level at 0.17 states/eV/atom. Its relative energy among the computed polymorphs is 400 meV per atom.



A plane-wave DFT calculation with PBE-GGA was carried out for a relaxed TlCoPb2Cl8 crystal.

a = 6.466 Å, b = 6.281 Å, c = 8.658 Å
α = 89.51°, β = 89.95°, γ = 88.18°
Positions (direct):
Cl1 0.858 0.213 0.186
Cl2 0.138 0.784 0.188
Pb1 0.500 0.498 0.766
Pb2 0.500 0.502 0.234
Cl3 0.142 0.787 0.814
Cl4 0.616 0.731 0.499
Cl5 0.290 0.205 0.001
Co1 0.000 0.000 0.000
Tl1 0.000 0.000 0.500
Cl6 0.710 0.795 0.999
Cl7 0.384 0.269 0.501
Cl8 0.862 0.216 0.812

The density is 4.5 g/cm3. The value obtained for the total energy is -41.89 eV/cell. As for the formation energy without anion corrections: -10.23 eV/f.u.



A plane-wave DFT calculation with PBE-GGA was carried out for a relaxed Dy2HgTe crystal.

a = 4.140 Å, b = 4.145 Å, c = 8.131 Å
α = 104.69°, β = 90.00°, γ = 119.96°
Positions (direct):
Te1 0.000 0.500 0.500
Dy1 0.249 0.999 0.248
Dy2 0.751 0.001 0.752
Hg1 0.500 0.500 0.000

The density is 9.4 g/cm3. The value obtained for the total energy is -16.08 eV/cell. As for the formation energy without anion corrections: -3.44 eV/f.u. The calculation puts the density of states at the Fermi level at 0.51 states/eV/atom. Its relative energy among the computed polymorphs is 0 meV per atom.



A plane-wave DFT calculation with PBE-GGA was carried out for a relaxed Ho2Tm5Al4 crystal.

a = 3.314 Å, b = 9.787 Å, c = 10.389 Å
α = 118.10°, β = 99.18°, γ = 90.00°
Positions (direct):
Al1 0.000 0.290 0.000
Al2 0.429 0.429 0.859
Al3 0.000 0.710 0.000
Tm1 0.182 0.517 0.363
Ho1 0.170 0.170 0.341
Tm2 0.500 0.000 0.000
Al4 0.571 0.571 0.141
Tm3 0.818 0.483 0.637
Tm4 0.182 0.846 0.363
Ho2 0.830 0.830 0.659
Tm5 0.818 0.154 0.637

The density is 7.3 g/cm3. The value obtained for the total energy is -45.80 eV/cell. The calculation puts the density of states at the Fermi level at 1.10 states/eV/atom. The formation energy comes out at 62 meV/atom.



A plane-wave DFT calculation with PBE-GGA was carried out for a relaxed CePaCd crystal.

a = 3.117 Å, b = 3.117 Å, c = 8.837 Å
α = 90.00°, β = 90.00°, γ = 120.00°
Each line ends with the local moment (μB).
Positions (direct):
Cd1 0.000 0.000 0.002  0.00
Ce1 0.333 0.667 0.670  0.07
Pa1 0.667 0.333 0.328  0.02

The density is 10.8 g/cm3. The value obtained for the total energy is -16.16 eV/cell. The calculation puts the density of states at the Fermi level at 2.26 states/eV/atom. The formation energy comes out at 60 meV/atom. Its relative energy among the computed polymorphs is 0 meV per atom.



A plane-wave DFT calculation with PBE-GGA was carried out for a relaxed Re4HgP crystal.

a = 5.260 Å, b = 5.260 Å, c = 5.260 Å
α = 60.00°, β = 60.00°, γ = 60.00°
Positions (direct):
Re1 0.876 0.375 0.375
Hg1 0.750 0.750 0.750
P1 0.000 0.000 0.000
Re2 0.375 0.375 0.375
Re3 0.375 0.375 0.876
Re4 0.375 0.876 0.375

The density is 15.8 g/cm3. The value obtained for the total energy is -49.76 eV/cell. The calculation puts the density of states at the Fermi level at 0.92 states/eV/atom. The formation energy comes out at 958 meV/atom.



A plane-wave DFT calculation with PBE-GGA was carried out for a relaxed V2CoHAu crystal.

a = 4.638 Å, b = 2.978 Å, c = 4.638 Å
α = 90.00°, β = 90.00°, γ = 90.00°
Each line ends with the local moment (μB).
Positions (direct):
Co1 0.000 0.000 0.000  -0.06
V1 0.500 0.000 0.000  0.33
Au1 0.500 0.500 0.500  0.02
H1 0.000 0.500 0.000  0.00
V2 0.000 0.000 0.500  0.25

The density is 9.3 g/cm3. The value obtained for the total energy is -29.31 eV/cell. The calculation puts the density of states at the Fermi level at 1.16 states/eV/atom. Its relative energy among the computed polymorphs is 601 meV per atom.



A plane-wave DFT calculation with PBE-GGA was carried out for a relaxed TcAsPBr2 crystal.

a = 4.957 Å, b = 4.957 Å, c = 5.099 Å
α = 90.00°, β = 90.00°, γ = 90.00°
Each line ends with the local moment (μB).
Positions (direct):
Br1 0.500 0.000 0.000  0.06
Br2 0.000 0.500 0.000  0.06
P1 0.000 0.000 0.000  0.01
Tc1 0.500 0.500 0.500  3.89
As1 0.000 0.000 0.500  -0.04

The density is 4.8 g/cm3. The value obtained for the total energy is -18.47 eV/cell. As for the formation energy without anion corrections: 5.30 eV/f.u. The calculation puts the density of states at the Fermi level at 0.54 states/eV/atom. Its relative energy among the computed polymorphs is 231 meV per atom.



A plane-wave DFT calculation with PBE-GGA was carried out for a relaxed In4HgTe3 crystal.

a = 7.824 Å, b = 8.387 Å, c = 9.716 Å
α = 90.00°, β = 90.00°, γ = 90.00°
Positions (direct):
Te1 0.000 0.665 0.747
In1 0.116 0.328 0.765
Hg1 0.517 0.834 0.500
Hg2 0.017 0.166 0.000
In2 0.155 0.847 0.500
Te2 0.498 0.815 0.000
Te3 0.000 0.665 0.253
In3 0.114 0.845 0.000
In4 0.655 0.153 0.000
In5 0.614 0.155 0.500
Te4 0.500 0.335 0.753
Te5 0.500 0.335 0.247
In6 0.616 0.672 0.735
Te6 0.998 0.185 0.500
In7 0.616 0.672 0.265
In8 0.116 0.328 0.235

The density is 5.4 g/cm3. The value obtained for the total energy is -44.41 eV/cell. As for the formation energy without anion corrections: -1.53 eV/f.u. The calculation puts the density of states at the Fermi level at 0.05 states/eV/atom. Its relative energy among the computed polymorphs is 33 meV per atom.



A plane-wave DFT calculation with PBE-GGA was carried out for a relaxed NaSmZn2Ge2 crystal.

a = 4.307 Å, b = 4.307 Å, c = 8.013 Å
α = 90.00°, β = 90.00°, γ = 120.00°
Positions (direct):
Na1 0.000 0.000 0.000
Sm1 0.000 0.000 0.500
Ge1 0.667 0.333 0.732
Ge2 0.333 0.667 0.268
Zn1 0.333 0.667 0.753
Zn2 0.667 0.333 0.247

The density is 5.8 g/cm3. The value obtained for the total energy is -20.22 eV/cell. The calculation puts the density of states at the Fermi level at 0.20 states/eV/atom. The formation energy comes out at -400 meV/atom.



A plane-wave DFT calculation with PBE-GGA was carried out for a relaxed SrIr2Se crystal.

a = 4.569 Å, b = 4.569 Å, c = 5.655 Å
α = 71.43°, β = 71.43°, γ = 54.26°
Positions (direct):
Se1 0.525 0.525 0.382
Ir1 0.963 0.963 0.165
Sr1 0.735 0.735 0.768
Ir2 0.277 0.277 0.184

The density is 10.2 g/cm3. The value obtained for the total energy is -23.95 eV/cell. As for the formation energy without anion corrections: -1.06 eV/f.u. The calculation puts the density of states at the Fermi level at 0.70 states/eV/atom.



A plane-wave DFT calculation with PBE-GGA was carried out for a relaxed Tb6CeSm3Y2 crystal.

a = 6.202 Å, b = 6.202 Å, c = 11.865 Å
α = 95.00°, β = 95.00°, γ = 119.99°
Each line ends with the local moment (μB).
Positions (direct):
Y1 0.333 0.667 0.000  0.03
Y2 0.667 0.333 0.000  0.03
Tb1 0.752 0.752 0.249  0.02
Tb2 0.414 0.083 0.248  0.02
Ce1 0.000 0.000 0.000  0.79
Tb3 0.083 0.414 0.248  0.02
Tb4 0.917 0.586 0.752  0.02
Sm1 0.500 0.500 0.500  -0.01
Sm2 0.167 0.833 0.500  -0.01
Tb5 0.586 0.917 0.752  0.02
Tb6 0.248 0.248 0.751  0.02
Sm3 0.833 0.167 0.500  -0.01

The density is 7.3 g/cm3. The value obtained for the total energy is -60.38 eV/cell. The calculation puts the density of states at the Fermi level at 1.61 states/eV/atom. The formation energy comes out at 35 meV/atom.



A plane-wave DFT calculation with PBE-GGA was carried out for a relaxed BaZr2F11 crystal.

a = 8.036 Å, b = 9.023 Å, c = 9.023 Å
α = 71.79°, β = 63.56°, γ = 63.56°
Each line ends with the local moment (μB).
Positions (direct):
F1 0.768 0.432 0.818  0.12
Zr1 0.628 0.679 0.321  -0.02
Zr2 0.372 0.321 0.679  -0.02
F2 0.371 0.801 0.962  0.09
Ba1 0.250 0.250 0.250  0.00
F3 0.370 0.721 0.279  0.09
Ba2 0.750 0.750 0.750  0.00
F4 0.982 0.818 0.432  0.12
F5 0.018 0.182 0.568  0.12
F6 0.630 0.279 0.721  0.09
F7 0.130 0.221 0.779  0.09
F8 0.518 0.068 0.682  0.12
F9 0.134 0.038 0.199  0.09
F10 0.634 0.699 0.538  0.09
F11 0.500 0.500 0.500  0.08
Zr3 0.872 0.179 0.821  -0.02
F12 0.366 0.301 0.462  0.09
F13 0.870 0.779 0.221  0.09
F14 0.232 0.568 0.182  0.12
F15 0.268 0.318 0.932  0.12
F16 0.629 0.199 0.038  0.09
F17 0.000 0.000 0.000  0.08
F18 0.866 0.962 0.801  0.09
F19 0.871 0.462 0.301  0.09
F20 0.129 0.538 0.699  0.09
F21 0.482 0.932 0.318  0.12
Zr4 0.128 0.821 0.179  -0.02
F22 0.732 0.682 0.068  0.12

The density is 3.4 g/cm3. The value obtained for the total energy is -175.83 eV/cell. As for the formation energy without anion corrections: -48.31 eV/f.u. The calculation puts the density of states at the Fermi level at 0.99 states/eV/atom.



A plane-wave DFT calculation with PBE-GGA was carried out for a relaxed Dy2Ho4Mg crystal.

a = 6.642 Å, b = 11.997 Å, c = 11.997 Å
α = 67.48°, β = 90.00°, γ = 90.00°
Positions (direct):
Dy1 0.000 0.250 0.250
Mg1 0.001 0.000 0.500
Ho1 0.250 0.981 0.847
Ho2 0.250 0.301 0.959
Dy2 0.000 0.750 0.750
Ho3 0.750 0.153 0.019
Ho4 0.250 0.481 0.347
Dy3 0.500 0.250 0.250
Dy4 0.500 0.750 0.750
Dy5 0.500 0.750 0.250
Mg2 0.501 0.000 0.500
Dy6 0.000 0.250 0.750
Ho5 0.250 0.199 0.541
Dy7 0.000 0.750 0.250
Dy8 0.500 0.250 0.750
Ho6 0.250 0.019 0.153
Ho7 0.750 0.959 0.301
Ho8 0.750 0.847 0.981
Ho9 0.750 0.459 0.801
Ho10 0.750 0.653 0.519
Mg3 0.499 0.500 0.000
Ho11 0.250 0.699 0.041
Ho12 0.750 0.041 0.699
Mg4 0.999 0.500 0.000
Ho13 0.250 0.801 0.459
Ho14 0.750 0.347 0.481
Ho15 0.250 0.519 0.653
Ho16 0.750 0.541 0.199

The density is 7.6 g/cm3. The value obtained for the total energy is -110.53 eV/cell. The calculation puts the density of states at the Fermi level at 1.60 states/eV/atom. The formation energy comes out at 211 meV/atom. Its relative energy among the computed polymorphs is 106 meV per atom.